[1]
Sr3Hg5I12: optimized geometry, PBE.

Calculated values
DOS(E_F) = 0.21 states/eV per atom
E = -2.001 eV/atom

Cell lengths 16.7112, 16.7112, 16.7112 Å; angles 109.47, 109.47, 109.47 degrees
Fractional positions:
1 Sr 0.7500 0.3750 0.1250
2 Sr 0.8750 0.7500 0.1250
3 Sr 0.3750 0.7500 0.6250
4 Sr 0.2500 0.1250 0.3750
5 Sr 0.8750 0.1250 0.2500
6 Sr 0.3750 0.6250 0.2500
7 Sr 0.6250 0.3750 0.7500
8 Sr 0.1250 0.8750 0.7500
9 Sr 0.7500 0.8750 0.6250
10 Sr 0.6250 0.2500 0.3750
11 Sr 0.1250 0.2500 0.8750
12 Sr 0.2500 0.6250 0.8750
13 Hg 0.1250 0.3750 0.2500
14 Hg 0.0000 0.5000 0.0000
15 Hg 0.0000 0.0000 0.0000
16 Hg 0.3750 0.2500 0.1250
17 Hg 0.5000 0.0000 0.5000
18 Hg 0.5000 0.5000 0.0000
19 Hg 0.1250 0.7500 0.3750
20 Hg 0.7500 0.1250 0.8750
21 Hg 0.7500 0.6250 0.3750
22 Hg 0.3750 0.1250 0.7500
23 Hg 0.6250 0.8750 0.2500
24 Hg 0.5000 0.5000 0.5000
25 Hg 0.5000 0.0000 0.0000
26 Hg 0.0000 0.0000 0.5000
27 Hg 0.2500 0.3750 0.6250
28 Hg 0.2500 0.8750 0.1250
29 Hg 0.0000 0.5000 0.5000
30 Hg 0.8750 0.2500 0.6250
31 Hg 0.6250 0.7500 0.8750
32 Hg 0.8750 0.6250 0.7500
33 I 0.7270 0.1347 0.0414
34 I 0.3144 0.5414 0.4067
35 I 0.9586 0.3653 0.2730
36 I 0.5414 0.2270 0.1347
37 I 0.5923 0.7270 0.6856
38 I 0.9586 0.5933 0.1856
39 I 0.3144 0.7730 0.4077
40 I 0.0933 0.9077 0.1347
41 I 0.5933 0.9586 0.6856
42 I 0.7270 0.5923 0.1856
43 I 0.7730 0.4586 0.3653
44 I 0.8144 0.9067 0.0414
45 I 0.1347 0.7270 0.5414
46 I 0.3653 0.4067 0.0923
47 I 0.0923 0.9067 0.3653
48 I 0.4077 0.1347 0.5933
49 I 0.0923 0.1856 0.2270
50 I 0.4586 0.6856 0.0933
51 I 0.8144 0.9077 0.2730
52 I 0.1347 0.4077 0.0933
53 I 0.3653 0.9586 0.7730
54 I 0.5933 0.6347 0.4077
55 I 0.9067 0.8144 0.5414
56 I 0.7730 0.3144 0.9077
57 I 0.4067 0.3653 0.5923
58 I 0.0933 0.1856 0.4586
59 I 0.2270 0.6856 0.0923
60 I 0.1856 0.0923 0.7270
61 I 0.6347 0.0414 0.2270
62 I 0.8653 0.5923 0.9067
63 I 0.5414 0.3144 0.9067
64 I 0.5923 0.8653 0.4067
65 I 0.9077 0.8144 0.7730
66 I 0.9077 0.0933 0.6347
67 I 0.8653 0.2730 0.4586
68 I 0.1856 0.0933 0.9586
69 I 0.6347 0.5933 0.9077
70 I 0.4067 0.0414 0.3144
71 I 0.2730 0.4077 0.8144
72 I 0.2270 0.5414 0.6347
73 I 0.9067 0.0923 0.8653
74 I 0.6856 0.2270 0.5923
75 I 0.4586 0.7730 0.8653
76 I 0.0414 0.4067 0.8144
77 I 0.4077 0.2730 0.3144
78 I 0.0414 0.6347 0.7270
79 I 0.6856 0.4586 0.5933
80 I 0.2730 0.8653 0.9586

---

[2]
HoRuC2: optimized geometry, PBE.

Calculated values
Energy above the lowest structure with this stoichiometry = 0.039 eV per atom
DOS(E_F) = 0.63 states/eV per atom
Calculated formation energy = -0.170 eV per atom

Cell lengths 3.6082, 3.9281, 3.9281 Å; angles 105.68, 90.00, 90.00 degrees
Fractional positions:
1 Ho 0.0000 0.9937 0.0063
2 Ru 0.5000 0.3808 0.6192
3 C 0.5000 0.8491 0.4435
4 C 0.5000 0.5565 0.1509

---

[3]
NaHF: optimized geometry, PBE.

Calculated values
Energy above the lowest structure with this stoichiometry = 0.017 eV per atom
DOS(E_F) = 0.00 states/eV per atom

Cell lengths 4.6940, 4.5520, 15.0694 Å; angles 90.00, 90.00, 90.00 degrees
Last column: magnetic moment on the atom in μB.
Fractional positions:
1 Na 0.2500 0.4731 0.1715  0.00
2 Na 0.7500 0.0269 0.6715  0.00
3 Na 0.2500 0.9731 0.3285  0.00
4 Na 0.7500 0.5269 0.8285  0.00
5 Na 0.2500 0.0272 0.8266  0.00
6 Na 0.7500 0.4728 0.3266  0.00
7 Na 0.2500 0.5272 0.6734  0.00
8 Na 0.7500 0.9728 0.1734  0.00
9 H 0.0494 0.0065 0.5195  0.00
10 H 0.9506 0.4935 0.0195  0.00
11 H 0.4506 0.5065 0.9805  0.00
12 H 0.5494 0.9935 0.4805  0.00
13 H 0.9506 0.9935 0.4805  0.00
14 H 0.0494 0.5065 0.9805  0.00
15 H 0.5494 0.4935 0.0195  0.00
16 H 0.4506 0.0065 0.5195  0.00
17 F 0.2500 0.4731 0.3272  0.06
18 F 0.7500 0.0269 0.8272  0.06
19 F 0.2500 0.9731 0.1728  0.06
20 F 0.7500 0.5269 0.6728  0.06
21 F 0.2500 0.0274 0.6705  0.03
22 F 0.7500 0.4726 0.1705  0.03
23 F 0.2500 0.5274 0.8295  0.03
24 F 0.7500 0.9726 0.3295  0.03

---

- Number 1 is which compound?
  Sr3Hg5I12